Material: Cs4Tl5
Method: DFT, PBE
State: relaxed

Lattice parameters (Å, degrees): 10.2073 10.2073 10.2073 93.90 93.90 149.75
Last column: nearest neighbours and their distance in Å.
Element x y z (fractional)
Cs: 0.0000 0.2890 0.2890  5 Tl 3.95-4.03
Cs: 0.0000 0.7110 0.7110  5 Tl 3.95-4.03
Cs: 0.2890 0.0000 0.2890  5 Tl 3.95-4.03
Cs: 0.7110 0.0000 0.7110  5 Tl 3.95-4.03
Tl: 0.0000 0.0000 0.0000  8 Tl 3.48
Tl: 0.3866 0.3866 0.7732  4 Tl 3.16-3.48
Tl: 0.3866 0.6134 0.0000  4 Tl 3.16-3.48
Tl: 0.6134 0.3866 0.0000  4 Tl 3.16-3.48
Tl: 0.6134 0.6134 0.2268  4 Tl 3.16-3.48

* D(E_F): 7.28 states/eV/cell
* final energy: -15.51 eV/cell